This record from Alexandria via LeMat-Bulk describes a geometry-optimized La4Zn3Pt structure. The functional is GGA-PBE.

D(E_F)	8.31	states/eV/cell
VASP energy	-0.3091	Ry/atom
energy of formation from the pure elements	-0.5096	eV per atom

abc: 3.7571 3.7571 14.8431
angles: 90.00 90.00 90.00
Space group P4/mmm (No. 123)
Symmetry-distinct sites (fractional):
La: 0.0000 0.0000 0.1162 x2
La: 0.0000 0.0000 0.3733 x2
Zn: 0.5000 0.5000 0.2506 x2
Zn: 0.5000 0.5000 0.5000 x1
Pt: 0.5000 0.5000 0.0000 x1